InBI3 | PBE | relaxed

Values from the calculation:
The formation energy without anion corrections is 0.844 eV/atom. The total energy comes out at -1.970 eV per atom. The polymorph energy (0 for the lowest one) comes out at 0.442 eV per atom. The total magnetic moment comes out at 0.0635 μB per atom.

Unit cell a=5.971 b=5.971 c=5.971 alpha=90.00 beta=90.00 gamma=90.00
Element x y z (fractional)
In  0.000  0.000  0.000
B  0.500  0.500  0.500
I  0.000  0.000  0.500
I  0.000  0.500  0.000
I  0.500  0.000  0.000

PrNpN2 | PBE | relaxed

Values from the calculation:
The formation energy without anion corrections is -0.959 eV/atom. The total energy comes out at -9.552 eV per atom. The total magnetic moment comes out at 0.8811 μB per atom.

Unit cell a=3.435 b=3.435 c=18.795 alpha=90.00 beta=90.00 gamma=120.00
Element x y z (fractional)
Pr  0.000  0.000  0.000
Pr  0.333  0.667  0.667
Pr  0.667  0.333  0.333
Np  0.000  0.000  0.828
Np  0.333  0.667  0.495
Np  0.667  0.333  0.161
N  0.000  0.000  0.417
N  0.000  0.000  0.570
N  0.333  0.667  0.084
N  0.333  0.667  0.236
N  0.667  0.333  0.750
N  0.667  0.333  0.903

K2Rb2Pb | PBE | relaxed

Values from the calculation:
The total energy comes out at -1.509 eV per atom. The polymorph energy (0 for the lowest one) comes out at 0.000 eV per atom. The total magnetic moment comes out at 0.0065 μB per atom.

Unit cell a=9.317 b=9.317 c=6.995 alpha=90.00 beta=90.00 gamma=90.00
Element x y z (fractional)
K  0.152  0.348  0.000
K  0.348  0.848  0.000
K  0.652  0.152  0.000
K  0.848  0.652  0.000
Rb  0.195  0.695  0.500
Rb  0.305  0.195  0.500
Rb  0.695  0.805  0.500
Rb  0.805  0.305  0.500
Pb  0.000  0.000  0.000
Pb  0.500  0.500  0.000

Question: total magnetic moment of number 3 (K2Rb2Pb)?
Answer: 0.0065 μB per atom

Question: Which of these has the highest total magnetic moment?
Answer: PrNpN2

Question: Which value of total magnetic moment does entry 3 give?
Answer: 0.0065 μB per atom